No. 1
! Ba6HgRh2 GGA-PBE optimized geometry; values from VASP
&SYSTEM
  ibrav = 0, nat = 9, ntyp = 3
/
ATOMIC_SPECIES
Rh 102.91 Rh.upf
Ba 137.33 Ba.upf
Hg 200.59 Hg.upf
ATOMIC_POSITIONS angstrom
Rh 2.055 -1.152 0.334
Ba 3.784 2.333 7.194
Rh 2.585 -0.218 8.454
Ba 0.339 0.924 1.701
Hg 0.236 2.859 4.457
Ba 4.300 -2.294 7.087
Ba 0.576 -0.330 6.298
Ba 0.855 -3.702 1.594
Ba 4.063 -1.039 2.490
CELL_PARAMETERS angstrom
-2.958 -4.410 2.986
7.125 -2.677 -3.111
0.473 5.718 8.914
! Space group   No. 12
! Mass density   4.75 Mg/m³
! Distance to the lowest polymorph of the same formula   0.33 eV/f.u.



No. 2
! BaHg2Rh2 GGA-PBE optimized geometry; values from VASP
&SYSTEM
  ibrav = 0, nat = 5, ntyp = 3
/
ATOMIC_SPECIES
Rh 102.91 Rh.upf
Hg 200.59 Hg.upf
Ba 137.33 Ba.upf
ATOMIC_POSITIONS angstrom
Rh -7.385 -0.224 -2.778
Hg -4.764 0.428 -3.499
Hg -5.696 -1.385 -0.877
Ba 0.000 0.000 0.000
Rh -3.075 -0.733 -1.599
CELL_PARAMETERS angstrom
-1.299 0.232 -4.508
-3.161 -3.395 0.736
-6.000 2.207 -0.605
! Space group   No. 139
! Mass density   10.19 Mg/m³
! Distance to the lowest polymorph of the same formula   0.00 eV/f.u.



No. 3
! BaHg2SbRh GGA-PBE optimized geometry; values from VASP
&SYSTEM
  ibrav = 0, nat = 5, ntyp = 4
/
ATOMIC_SPECIES
Ba 137.33 Ba.upf
Hg 200.59 Hg.upf
Rh 102.91 Rh.upf
Sb 121.76 Sb.upf
ATOMIC_POSITIONS angstrom
Ba 1.301 -2.728 3.413
Hg -0.410 0.457 2.576
Hg -0.750 -2.519 0.327
Rh 0.000 0.000 0.000
Sb 2.461 -0.666 0.510
CELL_PARAMETERS angstrom
-0.820 0.913 5.152
-1.499 -5.037 0.654
4.922 -1.333 1.019
! Space group   No. 123
! Mass density   8.69 Mg/m³
! Formation energy (no corrections)   -381 meV per atom



No. 4
! Ba2SiHgRh GGA-PBE optimized geometry; values from VASP
&SYSTEM
  ibrav = 0, nat = 5, ntyp = 4
/
ATOMIC_SPECIES
Si 28.09 Si.upf
Ba 137.33 Ba.upf
Hg 200.59 Hg.upf
Rh 102.91 Rh.upf
ATOMIC_POSITIONS angstrom
Si 0.000 0.000 2.313
Ba 3.049 0.000 0.000
Ba 0.000 3.049 0.000
Hg 3.049 3.049 2.313
Rh 0.000 0.000 0.000
CELL_PARAMETERS angstrom
6.097 0.000 0.000
0.000 6.097 0.000
0.000 0.000 4.627
! Space group   No. 123
! Mass density   5.85 Mg/m³
! Formation energy (no corrections)   -396 meV per atom



No. 5
! BaSiHg2Rh GGA-PBE optimized geometry; values from VASP
&SYSTEM
  ibrav = 0, nat = 5, ntyp = 4
/
ATOMIC_SPECIES
Si 28.09 Si.upf
Rh 102.91 Rh.upf
Hg 200.59 Hg.upf
Ba 137.33 Ba.upf
ATOMIC_POSITIONS angstrom
Si 0.477 -1.178 1.932
Rh 0.000 0.000 0.000
Hg -1.230 1.875 1.447
Ba 1.551 2.023 3.619
Hg 2.304 1.326 0.240
CELL_PARAMETERS angstrom
-2.460 3.751 2.894
0.954 -2.356 3.865
4.607 2.652 0.479
! Space group   No. 123
! Mass density   8.44 Mg/m³
! Formation energy (no corrections)   -305 meV per atom



No. 6
! Ba2SnHgRh GGA-PBE optimized geometry; values from VASP
&SYSTEM
  ibrav = 0, nat = 5, ntyp = 4
/
ATOMIC_SPECIES
Hg 200.59 Hg.upf
Ba 137.33 Ba.upf
Rh 102.91 Rh.upf
Sn 118.71 Sn.upf
ATOMIC_POSITIONS angstrom
Hg 3.041 3.041 2.551
Ba 0.000 3.041 0.000
Ba 3.041 0.000 0.000
Rh 0.000 0.000 0.000
Sn 0.000 0.000 2.551
CELL_PARAMETERS angstrom
6.083 0.000 0.000
0.000 6.083 0.000
0.000 0.000 5.102
! Space group   No. 123
! Mass density   6.13 Mg/m³
! DFT total energy   -3.53 eV/atom